# Y3Ho2Tm2

A relaxed structure of Y3Ho2Tm2 (PBE, Alexandria).

Results
- V: 31.86 Å³ per atom
- DOS at the Fermi energy: 12.0 states/eV per cell
- Energy relative to the lowest polymorph listed for this composition: 96 meV/atom
- Symmetry: C2/m, No. 12

Unit cell a=8.834 b=8.834 c=8.486 alpha=118.63 beta=118.63 gamma=22.71
Element x y z (fractional)
Y1 0.000 0.000 0.000
Y2 0.212 0.212 0.300
Y3 0.788 0.788 0.700
Ho1 0.435 0.435 0.590
Ho2 0.565 0.565 0.410
Tm1 0.146 0.146 0.824
Tm2 0.854 0.854 0.176

=====

# Y4Ho3Tm5

A relaxed structure of Y4Ho3Tm5 (PBE, Alexandria).

Results
- V: 30.96 Å³ per atom
- DOS at the Fermi energy: 18.1 states/eV per cell
- Energy relative to the lowest polymorph listed for this composition: 0 meV/atom
- Symmetry: P-1, No. 2

Unit cell a=6.090 b=7.064 c=9.302 alpha=100.94 beta=108.63 gamma=90.06
Element x y z (fractional)
Y1 0.001 0.168 0.168
Y2 0.499 0.084 0.832
Y3 0.501 0.916 0.168
Y4 0.999 0.832 0.832
Ho1 0.000 0.000 0.500
Ho2 0.500 0.418 0.168
Ho3 0.500 0.582 0.832
Tm1 0.000 0.500 0.500
Tm2 0.001 0.335 0.833
Tm3 0.497 0.749 0.499
Tm4 0.503 0.251 0.501
Tm5 0.999 0.665 0.167

=====

# Y2HoTm

A relaxed structure of Y2HoTm (PBE, Alexandria).

Results
- V: 31.79 Å³ per atom
- DOS at the Fermi energy: 6.9 states/eV per cell
- Energy relative to the lowest polymorph listed for this composition: 0 meV/atom
- Symmetry: P1, No. 1

Unit cell a=3.617 b=6.260 c=6.677 alpha=117.93 beta=105.70 gamma=90.03
Element x y z (fractional)
Y1 0.000 0.000 0.000
Y2 0.246 0.913 0.495
Ho1 0.497 0.496 0.994
Tm1 0.748 0.417 0.499

=====

# Y3Ho2Tm

A relaxed structure of Y3Ho2Tm (PBE, Alexandria).

Results
- V: 32.20 Å³ per atom
- DOS at the Fermi energy: 21.1 states/eV per cell
- Energy relative to the lowest polymorph listed for this composition: 98 meV/atom
- Symmetry: C2/m, No. 12

Unit cell a=11.665 b=11.665 c=10.142 alpha=108.17 beta=108.17 gamma=17.16
Element x y z (fractional)
Y1 0.059 0.059 0.439
Y2 0.196 0.196 0.715
Y3 0.430 0.430 0.228
Y4 0.570 0.570 0.772
Y5 0.804 0.804 0.285
Y6 0.941 0.941 0.561
Ho1 0.193 0.193 0.372
Ho2 0.428 0.428 0.866
Ho3 0.572 0.572 0.134
Ho4 0.807 0.807 0.628
Tm1 0.189 0.189 0.040
Tm2 0.811 0.811 0.960

=====

# Y2Ho12Tm5

A relaxed structure of Y2Ho12Tm5 (PBE, Alexandria).

Results
- V: 31.74 Å³ per atom
- DOS at the Fermi energy: 28.5 states/eV per cell
- Energy relative to the lowest polymorph listed for this composition: 110 meV/atom
- Symmetry: C2/m, No. 12

Unit cell a=9.074 b=9.074 c=8.440 alpha=90.61 beta=90.61 gamma=60.20
Element x y z (fractional)
Y1 0.180 0.820 0.000
Y2 0.820 0.180 0.000
Ho1 0.058 0.058 0.335
Ho2 0.067 0.681 0.340
Ho3 0.161 0.526 0.755
Ho4 0.319 0.933 0.660
Ho5 0.405 0.405 0.114
Ho6 0.474 0.839 0.245
Ho7 0.526 0.161 0.755
Ho8 0.595 0.595 0.886
Ho9 0.681 0.067 0.340
Ho10 0.839 0.474 0.245
Ho11 0.933 0.319 0.660
Ho12 0.942 0.942 0.665
Tm1 0.197 0.197 0.009
Tm2 0.267 0.267 0.425
Tm3 0.500 0.500 0.500
Tm4 0.733 0.733 0.575
Tm5 0.803 0.803 0.991

=====

# Y2Ho5Tm2

A relaxed structure of Y2Ho5Tm2 (PBE, Alexandria).

Results
- V: 31.45 Å³ per atom
- DOS at the Fermi energy: 19.5 states/eV per cell
- Energy relative to the lowest polymorph listed for this composition: 0 meV/atom
- Symmetry: C2/m, No. 12

Unit cell a=8.634 b=8.634 c=6.318 alpha=104.90 beta=104.90 gamma=38.65
Element x y z (fractional)
Y1 0.063 0.063 0.286
Y2 0.937 0.937 0.714
Ho1 0.180 0.180 0.859
Ho2 0.292 0.292 0.432
Ho3 0.500 0.500 0.500
Ho4 0.708 0.708 0.568
Ho5 0.820 0.820 0.141
Tm1 0.399 0.399 0.983
Tm2 0.601 0.601 0.017

=====

# Y4HoTm4

A relaxed structure of Y4HoTm4 (PBE, Alexandria).

Results
- V: 31.09 Å³ per atom
- DOS at the Fermi energy: 14.0 states/eV per cell
- Energy: -48.054 eV per cell
- Symmetry: C2/m, No. 12

Unit cell a=6.112 b=6.112 c=10.587 alpha=106.72 beta=106.72 gamma=48.20
Element x y z (fractional)
Y1 0.001 0.001 0.334
Y2 0.333 0.333 0.111
Y3 0.667 0.667 0.889
Y4 0.999 0.999 0.666
Ho1 0.000 0.000 0.000
Tm1 0.332 0.332 0.776
Tm2 0.333 0.333 0.445
Tm3 0.667 0.667 0.555
Tm4 0.668 0.668 0.224

=====

# Y16Ho7Tm6

A relaxed structure of Y16Ho7Tm6 (PBE, Alexandria).

Results
- V: 33.36 Å³ per atom
- DOS at the Fermi energy: 56.6 states/eV per cell
- Energy: -154.954 eV per cell
- Symmetry: Fm-3m, No. 225

Unit cell a=11.101 b=11.101 c=11.101 alpha=60.00 beta=60.00 gamma=60.00
Element x y z (fractional)
Y1 0.048 0.651 0.651
Y2 0.122 0.122 0.122
Y3 0.122 0.122 0.633
Y4 0.122 0.633 0.122
Y5 0.349 0.349 0.349
Y6 0.349 0.349 0.952
Y7 0.349 0.952 0.349
Y8 0.367 0.878 0.878
Y9 0.633 0.122 0.122
Y10 0.651 0.048 0.651
Y11 0.651 0.651 0.048
Y12 0.651 0.651 0.651
Y13 0.878 0.367 0.878
Y14 0.878 0.878 0.367
Y15 0.878 0.878 0.878
Y16 0.952 0.349 0.349
Ho1 0.000 0.000 0.000
Ho2 0.000 0.000 0.500
Ho3 0.000 0.500 0.000
Ho4 0.000 0.500 0.500
Ho5 0.500 0.000 0.000
Ho6 0.500 0.000 0.500
Ho7 0.500 0.500 0.000
Tm1 0.272 0.272 0.728
Tm2 0.272 0.728 0.272
Tm3 0.272 0.728 0.728
Tm4 0.728 0.272 0.272
Tm5 0.728 0.272 0.728
Tm6 0.728 0.728 0.272